Entry from the Alexandria database: YTa2Te after structural relaxation (PBE).

Cell: 3.4665 4.6418 5.7633 Å, 90.00 107.21 90.00°
Atoms (fractional coordinates):
1 Y 0.0000 0.0000 0.0000
2 Ta 0.2616 0.0000 0.5133
3 Ta 0.7163 0.5000 0.4243
4 Te 0.4252 0.5000 0.8478

ΔE_f (raw) ... 5 meV/atom
V ... 89 Å³ per cell
DFT total energy ... -8.323 eV/atom
N(E_F) ... 2.84 states/eV/f.u.